(1)
Zn2SbPdPt5 | GGA-PBE | relaxed

a b c (Å): 7.400 7.400 7.627
angles (deg): 119.02 119.02 90.00
Element x y z (fractional)
Zn  0.107  0.393  0.000
Zn  0.607  0.107  0.000
Zn  0.393  0.893  0.000
Zn  0.893  0.607  0.000
Sb  0.250  0.250  0.500
Sb  0.750  0.750  0.500
Pd  0.250  0.750  0.500
Pd  0.750  0.250  0.500
Pt  0.922  0.422  0.257
Pt  0.665  0.165  0.743
Pt  0.078  0.578  0.743
Pt  0.165  0.078  0.743
Pt  0.578  0.665  0.743
Pt  0.835  0.922  0.257
Pt  0.422  0.335  0.257
Pt  0.335  0.835  0.257
Pt  0.500  0.500  0.000
Pt  0.000  0.000  0.000

Computed properties:
E_form (uncorrected) in eV/atom: -0.053
Total magnetization in μB/cell: 0.0
Calculated volume in Å³ per cell: 304

(2)
ScPd2Pt6 | GGA-PBE | relaxed

a b c (Å): 5.383 7.683 7.683
angles (deg): 106.94 96.41 96.41
Element x y z (fractional)
Sc  0.250  0.916  0.084
Sc  0.750  0.084  0.916
Pd  0.125  0.368  0.346
Pd  0.375  0.654  0.632
Pd  0.875  0.632  0.654
Pd  0.625  0.346  0.368
Pt  0.544  0.367  0.754
Pt  0.956  0.246  0.633
Pt  0.456  0.633  0.246
Pt  0.044  0.754  0.367
Pt  0.674  0.911  0.548
Pt  0.826  0.452  0.089
Pt  0.326  0.089  0.452
Pt  0.174  0.548  0.911
Pt  0.325  0.264  0.029
Pt  0.175  0.971  0.736
Pt  0.675  0.736  0.971
Pt  0.825  0.029  0.264

Computed properties:
Total magnetization in μB/cell: 0.0
Calculated total energy in eV per atom: -6.156
Calculated volume in Å³ per cell: 299

> Which formula does entry 1 have?

Zn2SbPdPt5